Density functional theory data (PBE) for a geometry-optimized ScMn9Tc2 structure.

Output
mass density: 8.24 g cm⁻³
formation energy from the elements: -0.0172 eV/atom
size of the total moment: 0.0 μB per formula unit

Unit cell a=4.7066 b=4.7066 c=23.1866 alpha=90.00 beta=90.00 gamma=120.00
Closest atoms and distances in Å follow each position.
Space group R-3m (No. 166, hexagonal axes)
Asymmetric unit:
1 Sc 0.0000 0.0000 0.0000 (multiplicity 3)  6 Mn 2.72
2 Mn 0.0000 0.0000 0.3387 (multiplicity 6)  6 Mn 2.34-2.49
3 Mn 0.0000 0.0000 0.5000 (multiplicity 3)  6 Mn 2.34
4 Mn 0.0136 0.5068 0.9140 (multiplicity 18)  7 Mn 2.26-2.49
5 Tc 0.0000 0.0000 0.1401 (multiplicity 6)  12 Mn 2.67-2.81, 3 Tc 2.98